1.
First-principles (GGA-PBE) data for a relaxed Sc2ReAg crystal, as listed in the Alexandria database.

Cell: 3.5671 4.4467 9.3872 Å, 90.00 90.00 90.00°
Space group Imm2 (No. 44)
Asymmetric unit:
Sc1 0.0000 0.0000 0.0000 x2
Sc2 0.0000 0.5000 0.2266 x2
Re1 0.0000 0.0000 0.4982 x2
Ag1 0.0000 0.5000 0.7556 x2

## Properties
The calculation puts the formation energy at 4.7 kJ per mole of atoms.

=====

2.
First-principles (GGA-PBE) data for a relaxed TbPrDy2 crystal, as listed in the Alexandria database.

Cell: 8.0862 8.0862 8.0862 Å, 90.00 90.00 90.00°
Space group Fm-3m (No. 225)
Asymmetric unit:
Tb1 0.0000 0.0000 0.0000 x4
Pr1 0.0000 0.0000 0.5000 x4
Dy1 0.2500 0.2500 0.2500 x8

## Properties
The calculation puts the formation energy at 12.7 kJ per mole of atoms. The value obtained for the relative energy among the computed polymorphs is 0.1328 eV/atom.

=====

3.
First-principles (GGA-PBE) data for a relaxed IrRu2 crystal, as listed in the Alexandria database.

Cell: 2.6914 4.0259 17.1385 Å, 90.00 90.00 90.00°
Space group Imma (No. 74)
Asymmetric unit:
Ir1 0.0000 0.2500 0.1143 x4
Ru1 0.0000 0.2500 0.5395 x4
Ru2 0.0000 0.2500 0.6886 x4

## Properties
The calculation puts the formation energy at 39.0 kJ per mole of atoms. The value obtained for the relative energy among the computed polymorphs is 0.4540 eV/atom.

=====

4.
First-principles (GGA-PBE) data for a relaxed Pm8Ir3Pt2 crystal, as listed in the Alexandria database.

Cell: 10.0045 14.1488 4.9381 Å, 90.00 90.00 90.00°
Space group Cmmm (No. 65)
Asymmetric unit:
Pm1 0.0000 0.1211 0.0000 x4
Pm2 0.0000 0.3775 0.0000 x4
Pm3 0.2474 0.3783 0.5000 x8
Ir1 0.0000 0.5000 0.5000 x2
Ir2 0.2466 0.0000 0.0000 x4
Pt1 0.0000 0.2457 0.5000 x4

## Properties
The calculation puts the formation energy at -67.0 kJ per mole of atoms.

=====

5.
First-principles (GGA-PBE) data for a relaxed TbSmPd crystal, as listed in the Alexandria database.

Cell: 3.5939 3.5939 12.3625 Å, 90.00 90.00 90.00°
Space group I4mm (No. 107)
Asymmetric unit:
Tb1 0.0000 0.0000 0.0000 x2
Sm1 0.0000 0.0000 0.7249 x2
Pd1 0.0000 0.0000 0.3709 x2

## Properties
The calculation puts the formation energy at -49.1 kJ per mole of atoms. The value obtained for the relative energy among the computed polymorphs is 0.0044 eV/atom.

=====

6.
First-principles (GGA-PBE) data for a relaxed CsLiZnI4 crystal, as listed in the Alexandria database.

Cell: 6.9748 8.9246 10.5062 Å, 90.00 105.90 90.00°
Space group P2_1/m (No. 11)
Asymmetric unit:
Cs1 0.2472 0.2500 0.0970 x2
Li1 0.3156 0.2500 0.6826 x2
Zn1 0.1760 0.7500 0.3058 x2
I1 0.0674 0.0177 0.7258 x4
I2 0.3377 0.7500 0.0979 x2
I3 0.4861 0.7500 0.5111 x2

## Properties
For the uncorrected formation energy, the calculation gives -1.047 eV per atom.

=====

7.
First-principles (GGA-PBE) data for a relaxed Sm8Hg2Te crystal, as listed in the Alexandria database.

Cell: 18.9386 5.1711 7.1302 Å, 90.00 98.61 90.00°
Space group C2/m (No. 12)
Asymmetric unit:
Sm1 0.0250 0.0000 0.2515 x4
Sm2 0.0925 0.5000 0.9584 x4
Sm3 0.1618 0.5000 0.4787 x4
Sm4 0.2060 0.0000 0.8232 x4
Hg1 0.1902 0.0000 0.2442 x4
Te1 0.0000 0.5000 0.5000 x2

## Properties
For the uncorrected formation energy, the calculation gives -0.340 eV per atom.

=====

8.
First-principles (GGA-PBE) data for a relaxed Tl2GaCuSe crystal, as listed in the Alexandria database.

Cell: 5.3856 5.3856 4.7645 Å, 90.00 90.00 90.00°
Space group P4/mmm (No. 123)
Asymmetric unit:
Tl1 0.0000 0.5000 0.0000 x2
Ga1 0.0000 0.0000 0.5000 x1
Cu1 0.5000 0.5000 0.0000 x1
Se1 0.5000 0.5000 0.5000 x1

## Properties
For the uncorrected formation energy, the calculation gives 0.154 eV per atom.

=====

9.
First-principles (GGA-PBE) data for a relaxed GdIn crystal, as listed in the Alexandria database.

Cell: 3.8095 3.8095 3.7687 Å, 90.00 90.00 90.00°
Space group P4/mmm (No. 123)
Asymmetric unit:
Gd1 0.0000 0.0000 0.0000 x1
In1 0.5000 0.5000 0.5000 x1

## Properties
The calculation puts the formation energy at -47.6 kJ per mole of atoms.

=====

10.
First-principles (GGA-PBE) data for a relaxed Zr2PW crystal, as listed in the Alexandria database.

Cell: 9.8147 3.2723 4.7839 Å, 90.00 106.49 90.00°
Space group Cm (No. 8)
Asymmetric unit:
Zr1 0.0000 0.0000 0.0000 x2
Zr2 0.2210 0.0000 0.6942 x2
P1 0.2504 0.5000 0.1873 x2
W1 0.4375 0.0000 0.4347 x2

## Properties
The calculation puts the formation energy at -26.3 kJ per mole of atoms.

=====

| no. | total magnetic moment (μB per atom) |
| --- | --- |
| 1 | 0.000 |
| 2 | 0.000 |
| 3 | 0.000 |
| 4 | 0.000 |
| 5 | 0.000 |
| 6 | 0.000 |
| 7 | 0.000 |
| 8 | 0.000 |
| 9 | 3.612 |
| 10 | 0.000 |